(1)
Here is an optimized crystal structure of Rb2PdCF6 from Alexandria. Energies are from PBE.

a b c (Å): 5.8985 5.8985 5.8985
angles (deg): 60.00 60.00 60.00
With the nearest neighbours (Å) after each atom.
Atoms (fractional coordinates):
Rb1 0.2500 0.2500 0.2500  12 F 2.95
Rb2 0.7500 0.7500 0.7500  12 F 2.95
Pd1 0.0000 0.0000 0.0000  6 F 2.24
C1 0.5000 0.5000 0.5000  6 F 1.93
F1 0.2682 0.2682 0.7318  1 C 1.93
F2 0.2682 0.7318 0.2682  1 C 1.93
F3 0.2682 0.7318 0.7318  1 C 1.93
F4 0.7318 0.2682 0.2682  1 C 1.93
F5 0.7318 0.2682 0.7318  1 C 1.93
F6 0.7318 0.7318 0.2682  1 C 1.93

Values from the calculation:
Final energy   -4.0818 eV/atom


(2)
Here is an optimized crystal structure of TlPdCF2 from Alexandria. Energies are from PBE.

a b c (Å): 3.9425 3.9425 4.8128
angles (deg): 90.00 90.00 90.00
With the nearest neighbours (Å) after each atom.
Atoms (fractional coordinates):
Tl1 0.0000 0.0000 0.0000  2 C 2.41
Pd1 0.5000 0.5000 0.0000  4 Tl 2.79, 8 F 3.11
C1 0.0000 0.0000 0.5000  4 F 1.97
F1 0.0000 0.5000 0.5000  2 C 1.97
F2 0.5000 0.0000 0.5000  2 C 1.97

Values from the calculation:
Final energy   -3.6864 eV/atom


(3)
Here is an optimized crystal structure of Tl2PdCF from Alexandria. Energies are from PBE.

a b c (Å): 4.9298 4.9298 3.7232
angles (deg): 90.00 90.00 90.00
With the nearest neighbours (Å) after each atom.
Atoms (fractional coordinates):
Tl1 0.0000 0.5000 0.0000  2 C 2.46
Tl2 0.5000 0.0000 0.0000  2 C 2.46
Pd1 0.0000 0.0000 0.5000  8 Tl 3.09
C1 0.5000 0.5000 0.0000  2 F 1.86
F1 0.5000 0.5000 0.5000  2 C 1.86

Values from the calculation:
Final energy   -3.6177 eV/atom


(4)
Here is an optimized crystal structure of Pm2CF from Alexandria. Energies are from PBE.

a b c (Å): 3.1914 3.1914 6.4925
angles (deg): 90.00 90.00 90.00
With the nearest neighbours (Å) after each atom.
Atoms (fractional coordinates):
Pm1 0.0000 0.0000 0.2193  4 C 2.67, 1 Pm 2.85, 4 F 2.90
Pm2 0.0000 0.0000 0.7807  4 C 2.67, 1 Pm 2.85, 4 F 2.90
C1 0.5000 0.5000 0.0000  8 Pm 2.67
F1 0.5000 0.5000 0.5000  8 Pm 2.90, 4 F 3.19, 2 C 3.25

Values from the calculation:
Energy above the lowest structure with this stoichiometry   2.34 eV/f.u.
Final energy   -6.0568 eV/atom


(5)
Here is an optimized crystal structure of Pm2CF from Alexandria. Energies are from PBE.

a b c (Å): 4.0085 7.9400 5.7005
angles (deg): 90.00 90.00 90.00
With the nearest neighbours (Å) after each atom.
Atoms (fractional coordinates):
Pm1 0.0000 0.1178 0.0000  3 C 2.44-2.46, 1 F 2.50
Pm2 0.0000 0.6244 0.9481  1 C 2.27, 3 F 2.49-2.53
Pm3 0.5000 0.3756 0.4481  1 C 2.27, 3 F 2.49-2.53
Pm4 0.5000 0.8822 0.5000  3 C 2.44-2.46, 1 F 2.50
C1 0.0000 0.8695 0.7426  4 Pm 2.27-2.46
C2 0.5000 0.1305 0.2426  4 Pm 2.27-2.46
F1 0.0000 0.3583 0.7182  4 Pm 2.49-2.53
F2 0.5000 0.6417 0.2182  4 Pm 2.49-2.53

Values from the calculation:
Energy above the lowest structure with this stoichiometry   1.35 eV/f.u.
Final energy   -6.3028 eV/atom


(6)
Here is an optimized crystal structure of Pm2CF from Alexandria. Energies are from PBE.

a b c (Å): 3.6740 3.6740 18.5833
angles (deg): 90.00 90.00 120.00
With the nearest neighbours (Å) after each atom.
Atoms (fractional coordinates):
Pm1 0.0000 0.0000 0.2405  3 C 2.53, 3 F 2.73
Pm2 0.0000 0.0000 0.7595  3 C 2.53, 3 F 2.73
Pm3 0.3333 0.6667 0.4262  3 C 2.53, 3 F 2.73
Pm4 0.3333 0.6667 0.9072  3 C 2.53, 3 F 2.73
Pm5 0.6667 0.3333 0.0928  3 C 2.53, 3 F 2.73
Pm6 0.6667 0.3333 0.5738  3 C 2.53, 3 F 2.73
C1 0.0000 0.0000 0.5000  6 Pm 2.53
C2 0.3333 0.6667 0.1667  6 Pm 2.53
C3 0.6667 0.3333 0.8333  6 Pm 2.53
F1 0.0000 0.0000 0.0000  6 Pm 2.73
F2 0.3333 0.6667 0.6667  6 Pm 2.73
F3 0.6667 0.3333 0.3333  6 Pm 2.73

Values from the calculation:
Energy above the lowest structure with this stoichiometry   0.00 eV/f.u.
Final energy   -6.6409 eV/atom


Q: What is the formula in the first record?
A: Rb2PdCF6